Entry a
# Rb2Hg3Se4, optimized geometry, DFT GGA-PBE
data_Rb2Hg3Se4
_cell_length_a 10.044
_cell_length_b 10.044
_cell_length_c 10.044
_cell_angle_alpha 141.17
_cell_angle_beta 107.03
_cell_angle_gamma 85.87
_symmetry_space_group_name_H-M 'P 1'
_symmetry_Int_Tables_number 1
_symmetry_space_group_name_Hall 'P 1'
loop_
_atom_site_label
_atom_site_type_symbol
_atom_site_fract_x
_atom_site_fract_y
_atom_site_fract_z
Rb1 Rb 0.881 0.225 0.106
Rb2 Rb 0.619 0.725 0.345
Rb3 Rb 0.381 0.275 0.655
Rb4 Rb 0.119 0.775 0.894
Se1 Se 0.732 0.588 0.592
Se2 Se 0.496 0.088 0.856
Se3 Se 0.768 0.359 0.856
Se4 Se 0.996 0.141 0.408
Se5 Se 0.232 0.641 0.144
Se6 Se 0.004 0.859 0.592
Se7 Se 0.504 0.912 0.144
Se8 Se 0.268 0.412 0.408
Hg1 Hg 0.584 0.750 0.834
Hg2 Hg 0.750 0.250 0.500
Hg3 Hg 0.250 0.750 0.500
Hg4 Hg 0.416 0.250 0.166
Hg5 Hg 0.084 0.250 0.834
Hg6 Hg 0.916 0.750 0.166
# volume: 32.6 Å³ per atom

Entry b
# Rb2Hg3Se4, optimized geometry, DFT GGA-PBE
data_Rb2Hg3Se4
_cell_length_a 10.430
_cell_length_b 10.430
_cell_length_c 7.594
_cell_angle_alpha 89.21
_cell_angle_beta 89.21
_cell_angle_gamma 119.20
_symmetry_space_group_name_H-M 'P 1'
_symmetry_Int_Tables_number 1
_symmetry_space_group_name_Hall 'P 1'
loop_
_atom_site_label
_atom_site_type_symbol
_atom_site_fract_x
_atom_site_fract_y
_atom_site_fract_z
Hg1 Hg 0.288 0.970 0.927
Hg2 Hg 0.712 0.030 0.073
Hg3 Hg 0.704 0.296 0.750
Hg4 Hg 0.296 0.704 0.250
Hg5 Hg 0.970 0.288 0.427
Hg6 Hg 0.030 0.712 0.573
Se1 Se 0.437 0.243 0.899
Se2 Se 0.126 0.701 0.987
Se3 Se 0.874 0.299 0.013
Se4 Se 0.757 0.563 0.601
Se5 Se 0.701 0.126 0.487
Se6 Se 0.563 0.757 0.101
Se7 Se 0.299 0.874 0.513
Se8 Se 0.243 0.437 0.399
Rb1 Rb 0.427 0.230 0.395
Rb2 Rb 0.770 0.573 0.105
Rb3 Rb 0.573 0.770 0.605
Rb4 Rb 0.230 0.427 0.895
# volume: 40.0 Å³ per atom

Of them, the most stable is entry a and the least stable is entry b.

Entry a
# RbTlHgSe, optimized geometry, DFT GGA-PBE
data_RbTlHgSe
_cell_length_a 4.591
_cell_length_b 4.591
_cell_length_c 10.102
_cell_angle_alpha 90.06
_cell_angle_beta 103.08
_cell_angle_gamma 119.99
_symmetry_space_group_name_H-M 'P 1'
_symmetry_Int_Tables_number 1
_symmetry_space_group_name_Hall 'P 1'
loop_
_atom_site_label
_atom_site_type_symbol
_atom_site_fract_x
_atom_site_fract_y
_atom_site_fract_z
Tl1 Tl 0.744 0.198 0.941
Se1 Se 0.179 0.915 0.094
Hg1 Hg 0.518 0.086 0.604
Rb1 Rb 0.645 0.649 0.294
# volume: 44.5 Å³ per atom

Entry b
# RbTlHgSe, optimized geometry, DFT GGA-PBE
data_RbTlHgSe
_cell_length_a 5.711
_cell_length_b 5.711
_cell_length_c 5.711
_cell_angle_alpha 60.00
_cell_angle_beta 60.00
_cell_angle_gamma 60.00
_symmetry_space_group_name_H-M 'P 1'
_symmetry_Int_Tables_number 1
_symmetry_space_group_name_Hall 'P 1'
loop_
_atom_site_label
_atom_site_type_symbol
_atom_site_fract_x
_atom_site_fract_y
_atom_site_fract_z
Se1 Se 0.250 0.250 0.250
Rb1 Rb 0.500 0.500 0.500
Tl1 Tl 0.000 0.000 0.000
Hg1 Hg 0.750 0.750 0.750
# volume: 32.9 Å³ per atom

Of them, the most stable is entry a and the least stable is entry b.

Entry a
# Rb2Si2Hg, optimized geometry, DFT GGA-PBE
data_Rb2Si2Hg
_cell_length_a 6.577
_cell_length_b 6.577
_cell_length_c 6.817
_cell_angle_alpha 61.16
_cell_angle_beta 61.16
_cell_angle_gamma 90.00
_symmetry_space_group_name_H-M 'P 1'
_symmetry_Int_Tables_number 1
_symmetry_space_group_name_Hall 'P 1'
loop_
_atom_site_label
_atom_site_type_symbol
_atom_site_fract_x
_atom_site_fract_y
_atom_site_fract_z
Si1 Si 0.607 0.607 0.786
Si2 Si 0.393 0.393 0.214
Rb1 Rb 0.250 0.750 0.500
Rb2 Rb 0.750 0.250 0.500
Hg1 Hg 0.000 0.000 0.000
# volume: 43.1 Å³ per atom

Entry b
# Rb2Si2Hg, optimized geometry, DFT GGA-PBE
data_Rb2Si2Hg
_cell_length_a 8.996
_cell_length_b 8.996
_cell_length_c 4.975
_cell_angle_alpha 90.00
_cell_angle_beta 90.00
_cell_angle_gamma 90.00
_symmetry_space_group_name_H-M 'P 1'
_symmetry_Int_Tables_number 1
_symmetry_space_group_name_Hall 'P 1'
loop_
_atom_site_label
_atom_site_type_symbol
_atom_site_fract_x
_atom_site_fract_y
_atom_site_fract_z
Hg1 Hg 0.000 0.000 0.000
Hg2 Hg 0.500 0.500 0.000
Rb1 Rb 0.700 0.800 0.500
Rb2 Rb 0.300 0.200 0.500
Rb3 Rb 0.800 0.300 0.500
Rb4 Rb 0.200 0.700 0.500
Si1 Si 0.085 0.415 0.000
Si2 Si 0.585 0.085 0.000
Si3 Si 0.915 0.585 0.000
Si4 Si 0.415 0.915 0.000
# volume: 40.3 Å³ per atom

Of them, the most stable is entry b and the least stable is entry a.

Entry a
# RbSiHg3, optimized geometry, DFT GGA-PBE
data_RbSiHg3
_cell_length_a 6.728
_cell_length_b 6.728
_cell_length_c 6.728
_cell_angle_alpha 90.00
_cell_angle_beta 90.00
_cell_angle_gamma 90.00
_symmetry_space_group_name_H-M 'P 1'
_symmetry_Int_Tables_number 1
_symmetry_space_group_name_Hall 'P 1'
loop_
_atom_site_label
_atom_site_type_symbol
_atom_site_fract_x
_atom_site_fract_y
_atom_site_fract_z
Hg1 Hg 0.500 0.000 0.000
Hg2 Hg 0.000 0.500 0.000
Hg3 Hg 0.000 0.000 0.500
Si1 Si 0.500 0.500 0.500
Rb1 Rb 0.000 0.000 0.000
# volume: 60.9 Å³ per atom

Entry b
# RbSiHg3, optimized geometry, DFT GGA-PBE
data_RbSiHg3
_cell_length_a 5.422
_cell_length_b 5.422
_cell_length_c 5.422
_cell_angle_alpha 90.00
_cell_angle_beta 90.00
_cell_angle_gamma 90.00
_symmetry_space_group_name_H-M 'P 1'
_symmetry_Int_Tables_number 1
_symmetry_space_group_name_Hall 'P 1'
loop_
_atom_site_label
_atom_site_type_symbol
_atom_site_fract_x
_atom_site_fract_y
_atom_site_fract_z
Hg1 Hg 0.500 0.000 0.000
Hg2 Hg 0.000 0.500 0.000
Hg3 Hg 0.000 0.000 0.500
Si1 Si 0.000 0.000 0.000
Rb1 Rb 0.500 0.500 0.500
# volume: 31.9 Å³ per atom

Of them, the most stable is entry b and the least stable is entry a.

Entry a
# Rb2SiHg, optimized geometry, DFT GGA-PBE
data_Rb2SiHg
_cell_length_a 6.114
_cell_length_b 6.114
_cell_length_c 6.114
_cell_angle_alpha 60.00
_cell_angle_beta 60.00
_cell_angle_gamma 60.00
_symmetry_space_group_name_H-M 'P 1'
_symmetry_Int_Tables_number 1
_symmetry_space_group_name_Hall 'P 1'
loop_
_atom_site_label
_atom_site_type_symbol
_atom_site_fract_x
_atom_site_fract_y
_atom_site_fract_z
Hg1 Hg 0.500 0.500 0.500
Rb1 Rb 0.250 0.250 0.250
Rb2 Rb 0.750 0.750 0.750
Si1 Si 0.000 0.000 0.000
# volume: 40.4 Å³ per atom

Entry b
# Rb2SiHg, optimized geometry, DFT GGA-PBE
data_Rb2SiHg
_cell_length_a 13.326
_cell_length_b 13.326
_cell_length_c 9.765
_cell_angle_alpha 46.97
_cell_angle_beta 46.97
_cell_angle_gamma 90.00
_symmetry_space_group_name_H-M 'P 1'
_symmetry_Int_Tables_number 1
_symmetry_space_group_name_Hall 'P 1'
loop_
_atom_site_label
_atom_site_type_symbol
_atom_site_fract_x
_atom_site_fract_y
_atom_site_fract_z
Rb1 Rb 0.322 0.625 0.250
Rb2 Rb 0.428 0.125 0.250
Rb3 Rb 0.875 0.678 0.750
Rb4 Rb 0.375 0.572 0.750
Si1 Si 0.500 0.500 0.000
Si2 Si 0.250 0.750 0.500
Hg1 Hg 0.000 0.000 0.000
Hg2 Hg 0.750 0.250 0.500
# volume: 56.9 Å³ per atom

Of them, the most stable is entry b and the least stable is entry a.

Entry a
# RbSmHg2, optimized geometry, DFT GGA-PBE
data_RbSmHg2
_cell_length_a 3.914
_cell_length_b 3.914
_cell_length_c 8.662
_cell_angle_alpha 90.00
_cell_angle_beta 90.00
_cell_angle_gamma 90.00
_symmetry_space_group_name_H-M 'P 1'
_symmetry_Int_Tables_number 1
_symmetry_space_group_name_Hall 'P 1'
loop_
_atom_site_label
_atom_site_type_symbol
_atom_site_fract_x
_atom_site_fract_y
_atom_site_fract_z
Sm1 Sm 0.500 0.500 0.000
Rb1 Rb 0.500 0.500 0.500
Hg1 Hg 0.000 0.000 0.805
Hg2 Hg 0.000 0.000 0.195
# volume: 33.2 Å³ per atom

Entry b
# RbSmHg2, optimized geometry, DFT GGA-PBE
data_RbSmHg2
_cell_length_a 4.181
_cell_length_b 4.181
_cell_length_c 9.930
_cell_angle_alpha 77.85
_cell_angle_beta 77.85
_cell_angle_gamma 60.00
_symmetry_space_group_name_H-M 'P 1'
_symmetry_Int_Tables_number 1
_symmetry_space_group_name_Hall 'P 1'
loop_
_atom_site_label
_atom_site_type_symbol
_atom_site_fract_x
_atom_site_fract_y
_atom_site_fract_z
Rb1 Rb 0.500 0.500 0.500
Sm1 Sm 0.000 0.000 0.000
Hg1 Hg 0.735 0.735 0.794
Hg2 Hg 0.265 0.265 0.206
# volume: 36.5 Å³ per atom

Of them, the most stable is entry a and the least stable is entry b.